This record from Alexandria describes a relaxed structure of TePdBrCl2. The functional is PBE.

## Properties
Formation energy (no corrections) = 0.60 eV per atom
Crystal system = tetragonal

a b c (Å): 5.2223 5.0863 5.2223
angles (deg): 90.00 90.00 90.00
Sites, in units of the cell vectors:
Te 0.5000 0.5000 0.5000
Br 0.0000 0.0000 0.0000
Pd 0.0000 0.5000 0.0000
Cl 0.0000 0.0000 0.5000
Cl 0.5000 0.0000 0.0000